## LaMnCdRh2 (GGA-PBE)

Data for a relaxed LaMnCdRh2 crystal.

* formation energy from the elements: 1.260 eV per atom
* crystal system: tetragonal
* ρ: 7.51 g cm⁻³
* final energy: -23.42 eV/cell

Geometry as CIF:
```
data_LaMnCdRh2
_space_group_name_H-M_alt 'P 4/m m m'
_space_group_IT_number 123
_space_group_name_Hall '-P 4 2'
_cell_length_a 4.919
_cell_length_b 4.919
_cell_length_c 4.681
_cell_angle_alpha 90.00
_cell_angle_beta 90.00
_cell_angle_gamma 90.00
loop_
_atom_site_label
_atom_site_fract_x
_atom_site_fract_y
_atom_site_fract_z
La1 0.000 0.000 0.000
Mn1 0.000 0.000 0.500
Cd1 0.500 0.500 0.500
Rh1 0.000 0.500 0.000
```